[1]
Density functional theory data (PBE) for a relaxed structure of Cs5TeO4F2.

a b c (Å): 8.4239 6.7809 6.7809
angles (deg): 116.58 90.00 90.00
With the nearest neighbours (Å) after each atom.
Element x y z (fractional)
1 Cs 0.0000 0.0000 0.0000  2 F 2.93, 2 O 2.98
2 Cs 0.2607 0.3198 0.6817  2 F 2.94-3.01, 2 O 3.05-3.11
3 Cs 0.2607 0.6817 0.3198  2 F 2.94-3.01, 2 O 3.05-3.11
4 Cs 0.7393 0.3198 0.6817  2 F 2.94-3.01, 2 O 3.05-3.11
5 Cs 0.7393 0.6817 0.3198  2 F 2.94-3.01, 2 O 3.05-3.11
6 Te 0.5000 0.0179 0.0179  4 O 1.94-1.96
7 O 0.3173 0.1841 0.1841  1 Te 1.94
8 O 0.5000 0.0032 0.7221  1 Te 1.96
9 O 0.5000 0.7221 0.0032  1 Te 1.96
10 O 0.6827 0.1841 0.1841  1 Te 1.94
11 F 0.0000 0.5595 0.9808  5 Cs 2.93-3.01
12 F 0.0000 0.9808 0.5595  5 Cs 2.93-3.01

## Properties
energy relative to the elements, uncorrected	-1.76	eV per atom



[2]
Density functional theory data (PBE) for a relaxed structure of Cs2TiOF6.

a b c (Å): 6.6911 6.6911 6.6911
angles (deg): 122.84 122.84 85.15
With the nearest neighbours (Å) after each atom.
Element x y z (fractional)
1 Cs 0.2500 0.7500 0.5000  12 F 3.25-3.37
2 Cs 0.7500 0.2500 0.5000  12 F 3.25-3.37
3 Ti 0.0000 0.0000 0.0000  6 F 1.89
4 O 0.5000 0.5000 0.0000  4 F 2.63
5 F 0.1922 0.1922 0.0000  1 Ti 1.89
6 F 0.2092 0.2092 0.4185  1 Ti 1.89
7 F 0.2092 0.7908 0.0000  1 Ti 1.89
8 F 0.7908 0.2092 0.0000  1 Ti 1.89
9 F 0.7908 0.7908 0.5815  1 Ti 1.89
10 F 0.8078 0.8078 0.0000  1 Ti 1.89

## Properties
energy relative to the elements, uncorrected	-2.65	eV per atom



[3]
Density functional theory data (PBE) for a relaxed structure of Cs2TlOF6.

a b c (Å): 6.4883 6.4883 6.4883
angles (deg): 120.75 120.75 88.71
With the nearest neighbours (Å) after each atom.
Element x y z (fractional)
1 Cs 0.2500 0.7500 0.5000  12 F 3.21-3.24
2 Cs 0.7500 0.2500 0.5000  12 F 3.21-3.24
3 Tl 0.0000 0.0000 0.0000  6 F 2.18-2.20
4 O 0.5000 0.5000 0.0000  6 F 2.34-2.46
5 F 0.2354 0.2354 0.0000  1 Tl 2.18
6 F 0.2423 0.2423 0.4846  1 Tl 2.20, 1 O 2.34
7 F 0.2423 0.7577 0.0000  1 Tl 2.20, 1 O 2.34
8 F 0.7577 0.2423 0.0000  1 Tl 2.20, 1 O 2.34
9 F 0.7577 0.7577 0.5154  1 Tl 2.20, 1 O 2.34
10 F 0.7646 0.7646 0.0000  1 Tl 2.18

## Properties
energy relative to the elements, uncorrected	-1.67	eV per atom



[4]
Density functional theory data (PBE) for a relaxed structure of CsTlOF2.

a b c (Å): 5.2543 5.2543 4.3802
angles (deg): 90.00 90.00 90.00
With the nearest neighbours (Å) after each atom.
Element x y z (fractional)
1 Cs 0.0000 0.0000 0.0000  2 O 2.19
2 Tl 0.5000 0.5000 0.5000  8 F 3.42, 4 O 3.72
3 O 0.0000 0.0000 0.5000  2 Cs 2.19
4 F 0.0000 0.5000 0.0000  2 Cs 2.63
5 F 0.5000 0.0000 0.0000  2 Cs 2.63

## Properties
energy above the most stable polymorph in this dataset	804	meV/atom
energy relative to the elements, uncorrected	-0.94	eV per atom